First-principles (PBE) data for a relaxed structure of ZrZn4Ag, as listed in Alexandria via LeMat-Bulk.

Cell: 5.1880 5.1880 5.1880 Å, 60.00 60.00 60.00°
Closest atoms and distances in Å follow each position.
Fractional coordinates of all 6 atoms:
Zn (0.3758, 0.8725, 0.3758)  6 Zn 2.58-2.61
Zn (0.8725, 0.3758, 0.3758)  6 Zn 2.58-2.61
Zn (0.3758, 0.3758, 0.8725)  6 Zn 2.58-2.61
Zn (0.3758, 0.3758, 0.3758)  6 Zn 2.58-2.61
Zr (0.7500, 0.7500, 0.7500)  12 Zn 3.04, 4 Ag 3.18
Ag (0.0000, 0.0000, 0.0000)  12 Zn 3.04, 4 Zr 3.18

## Properties
DOS at the Fermi energy in states/eV/f.u.: 4.61
DFT total energy in eV/atom: -2.8083